<P>
DFT (GGA-PBE) results for CaCuRh2 after structural relaxation.

The crystal system is monoclinic. The value obtained for the magnetization is 0.000 μB per cell.

The space group is Cm (No. 8) and the conventional cell measures 10.3534, 2.9159 and 4.8207 Å, with angles of 90.00, 117.18 and 90.00 degrees. Symmetry generates all atoms from Ca at (0.0000, 0.0000, 0.0000), Cu at (0.2679, 0.5000, 0.1405), Rh at (0.0041, 0.5000, 0.5204) and Rh at (0.2352, 0.0000, 0.5939).

***

<Q>
DFT (GGA-PBE) results for CaCuRh2 after structural relaxation.

The crystal system is orthorhombic. The value obtained for the magnetization is 0.000 μB per cell.

The space group is Pmm2 (No. 25) and the conventional cell measures 2.9682, 4.6072 and 4.7457 Å, with angles of 90.00, 90.00 and 90.00 degrees. Symmetry generates all atoms from Ca at (0.0000, 0.0000, 0.0000), Cu at (0.5000, 0.5000, 0.8447), Rh at (0.0000, 0.5000, 0.3925) and Rh at (0.5000, 0.0000, 0.5021).

***

From most stable to least stable, the computed energies give <P>, <Q>.

***

<P>
DFT (GGA-PBE) results for ScCr2Ni after structural relaxation.

The crystal system is tetragonal. The value obtained for the magnetization is 0.805 μB per cell.

The space group is P4mm (No. 99) and the conventional cell measures 3.0554, 3.0554 and 6.0550 Å, with angles of 90.00, 90.00 and 90.00 degrees. Symmetry generates all atoms from Sc at (0.0000, 0.0000, 0.0000), Cr at (0.0000, 0.0000, 0.4948), Cr at (0.5000, 0.5000, 0.3080) and Ni at (0.5000, 0.5000, 0.7465).

***

<Q>
DFT (GGA-PBE) results for ScCr2Ni after structural relaxation.

The crystal system is tetragonal. The value obtained for the magnetization is 0.000 μB per cell.

The space group is P4/mmm (No. 123) and the conventional cell measures 3.4960, 3.4960 and 4.4668 Å, with angles of 90.00, 90.00 and 90.00 degrees. Symmetry generates all atoms from Sc at (0.0000, 0.0000, 0.0000), Cr at (0.0000, 0.5000, 0.5000) and Ni at (0.5000, 0.5000, 0.0000).

***

From most stable to least stable, the computed energies give <P>, <Q>.

***

<P>
DFT (GGA-PBE) results for TaCrCo2 after structural relaxation.

The crystal system is cubic. The value obtained for the magnetization is 3.093 μB per cell.

The space group is F-43m (No. 216) and the conventional cell measures 5.8670, 5.8670 and 5.8670 Å, with angles of 90.00, 90.00 and 90.00 degrees. Symmetry generates all atoms from Ta at (0.0000, 0.0000, 0.0000), Cr at (0.2500, 0.2500, 0.7500), Co at (0.0000, 0.0000, 0.5000) and Co at (0.2500, 0.2500, 0.2500).

***

<Q>
DFT (GGA-PBE) results for TaCrCo2 after structural relaxation.

The crystal system is monoclinic. The value obtained for the magnetization is 0.001 μB per cell.

The space group is C2/m (No. 12) and the conventional cell measures 5.2461, 7.1856 and 2.6784 Å, with angles of 90.00, 90.32 and 90.00 degrees. Symmetry generates all atoms from Ta at (0.0000, 0.0000, 0.0000), Cr at (0.0000, 0.5000, 0.0000) and Co at (0.2500, 0.2500, 0.5000).

***

From most stable to least stable, the computed energies give <Q>, <P>.

***

<P>
DFT (GGA-PBE) results for FeCuTeAsOs after structural relaxation.

The crystal system is triclinic. The value obtained for the magnetization is 2.578 μB per cell.

The space group is P1 (No. 1) and the conventional cell measures 4.0063, 4.3527 and 5.2752 Å, with angles of 94.87, 90.41 and 90.43 degrees. Symmetry generates all atoms from Fe at (0.0000, 0.0000, 0.0000), Cu at (0.4628, 0.2636, 0.4130), Te at (0.9914, 0.7343, 0.4178), As at (0.5007, 0.3364, 0.9510) and Os at (0.4961, 0.8100, 0.7425).

***

<Q>
DFT (GGA-PBE) results for FeCuTeAsOs after structural relaxation.

The crystal system is monoclinic. The value obtained for the magnetization is 6.126 μB per cell.

The space group is Cm (No. 8) and the conventional cell measures 8.3812, 3.1655 and 6.8102 Å, with angles of 90.00, 91.95 and 90.00 degrees. Symmetry generates all atoms from Fe at (0.0000, 0.0000, 0.0000), Cu at (0.2065, 0.5000, 0.8220), Te at (0.4694, 0.5000, 0.6124), As at (0.2282, 0.5000, 0.1828) and Os at (0.4459, 0.0000, 0.2826).

***

From most stable to least stable, the computed energies give <P>, <Q>.